Entry 1:
# ScHN2

A crystal of ScHN2 relaxed with PBEsol (meta-GGA SCAN, the Alexandria database). Values from VASP.

The structure in Quantum ESPRESSO input format:
```
&SYSTEM
  ibrav = 0, nat = 8, ntyp = 3
/
ATOMIC_SPECIES
H 1.01 H.upf
Sc 44.96 Sc.upf
N 14.01 N.upf
CELL_PARAMETERS angstrom
-3.037 -1.596 1.002
1.637 -1.292 2.903
-0.631 5.614 0.653
ATOMIC_POSITIONS crystal
H 0.500 0.500 0.000
H 0.750 0.250 0.500
Sc 0.000 0.000 0.000
Sc 0.250 0.750 0.500
N 0.125 0.326 0.750
N 0.576 0.875 0.250
N 0.674 0.375 0.250
N 0.625 0.424 0.750
```

Properties
Total energy = -8.900 eV/atom
Symmetry = No. 122

---

Entry 2:
# La2HgRh

A crystal of La2HgRh relaxed with PBEsol (meta-GGA SCAN, the Alexandria database). Values from VASP.

The structure in Quantum ESPRESSO input format:
```
&SYSTEM
  ibrav = 0, nat = 4, ntyp = 3
/
ATOMIC_SPECIES
La 138.91 La.upf
Rh 102.91 Rh.upf
Hg 200.59 Hg.upf
CELL_PARAMETERS angstrom
-2.857 -2.068 0.877
1.939 -0.927 4.129
-2.241 6.216 -0.176
ATOMIC_POSITIONS crystal
La 0.798 0.298 0.597
La 0.000 0.000 0.000
Rh 0.505 0.505 0.010
Hg 0.197 0.697 0.393
```

Properties
Total energy = -47.637 eV/atom
Symmetry = No. 44

---

Entry 3:
# Zn4P3

A crystal of Zn4P3 relaxed with PBEsol (meta-GGA SCAN, the Alexandria database). Values from VASP.

The structure in Quantum ESPRESSO input format:
```
&SYSTEM
  ibrav = 0, nat = 7, ntyp = 2
/
ATOMIC_SPECIES
Zn 65.41 Zn.upf
P 30.97 P.upf
CELL_PARAMETERS angstrom
4.781 0.000 0.000
0.000 5.106 0.000
0.000 -2.553 4.422
ATOMIC_POSITIONS crystal
Zn 0.500 0.667 0.333
Zn 0.744 0.000 0.000
Zn 0.500 0.333 0.667
Zn 0.256 0.000 0.000
P 0.000 0.500 0.000
P 0.000 0.000 0.500
P 0.000 0.500 0.500
```

Properties
Total energy = -11.690 eV/atom
E above lowest polymorph = 418 meV/atom
Symmetry = No. 191

---

Entry 4:
# Si7Tc

A crystal of Si7Tc relaxed with PBEsol (meta-GGA SCAN, the Alexandria database). Values from VASP.

The structure in Quantum ESPRESSO input format:
```
&SYSTEM
  ibrav = 0, nat = 8, ntyp = 2
/
ATOMIC_SPECIES
Si 28.09 Si.upf
Tc 98.00 Tc.upf
CELL_PARAMETERS angstrom
-0.931 -4.868 1.943
3.688 -2.430 2.971
-0.806 -0.674 5.218
ATOMIC_POSITIONS crystal
Si 0.000 0.500 0.000
Si 0.500 0.500 0.500
Si 0.000 0.500 0.500
Si 0.500 0.500 0.000
Si 0.000 0.000 0.500
Si 0.500 0.000 0.500
Si 0.500 0.000 0.000
Tc 0.000 0.000 0.000
```

Properties
Total energy = -12.706 eV/atom
Symmetry = No. 225

---

Entry 5:
# HgMoS2Cl

A crystal of HgMoS2Cl relaxed with PBEsol (meta-GGA SCAN, the Alexandria database). Values from VASP.

The structure in Quantum ESPRESSO input format:
```
&SYSTEM
  ibrav = 0, nat = 5, ntyp = 4
/
ATOMIC_SPECIES
S 32.06 S.upf
Hg 200.59 Hg.upf
Mo 95.94 Mo.upf
Cl 35.45 Cl.upf
CELL_PARAMETERS angstrom
4.928 0.000 0.000
0.000 4.928 0.000
0.000 0.000 4.916
ATOMIC_POSITIONS crystal
S 0.500 0.000 0.000
S 0.000 0.500 0.000
Hg 0.000 0.000 0.000
Mo 0.500 0.500 0.500
Cl 0.000 0.000 0.500
```

Properties
Total energy = -25.127 eV/atom
Symmetry = No. 123

---

Entry 6:
# LaYW2

A crystal of LaYW2 relaxed with PBEsol (meta-GGA SCAN, the Alexandria database). Values from VASP.

The structure in Quantum ESPRESSO input format:
```
&SYSTEM
  ibrav = 0, nat = 4, ntyp = 3
/
ATOMIC_SPECIES
La 138.91 La.upf
W 183.84 W.upf
Y 88.91 Y.upf
CELL_PARAMETERS angstrom
-1.277 2.553 0.780
-1.261 0.271 2.663
8.618 4.416 5.275
ATOMIC_POSITIONS crystal
La 0.500 0.500 0.500
W 0.747 0.747 0.760
W 0.253 0.253 0.240
Y 0.000 0.000 0.000
```

Properties
Total energy = -51.506 eV/atom
E above lowest polymorph = 498 meV/atom
Symmetry = No. 166

---

Number 3 is which compound?
Zn4P3

---

total energy of number 4 (Si7Tc)?
-12.706 eV/atom